Entry 1:
The following is a DFT calculation (PBE) of crystalline YHoPt2 at its relaxed geometry.

The relative energy among the computed polymorphs is 0 meV per atom. As for the density of states at the Fermi level: 0.7460 states/eV per atom. Its formation energy is -1.2767 eV/atom. For the total energy, the calculation gives -7.06 eV per atom.

The structure belongs to space group Amm2 (No. 38); the cell edges are 4.448, 3.789 and 10.563 Å and the angles 90.00°, 90.00° and 90.00°. The distinct sites, in fractional coordinates, are Y at (0.000, 0.000, 0.000), Ho at (0.500, 0.000, 0.277), Pt at (0.000, 0.000, 0.727) and Pt at (0.500, 0.000, 0.552).

Entry 2:
The following is a DFT calculation (PBE) of crystalline Y2HoPt at its relaxed geometry.

The relative energy among the computed polymorphs is 43 meV per atom. As for the density of states at the Fermi level: 1.3941 states/eV per atom. Its formation energy is -0.6729 eV/atom. For the total energy, the calculation gives -6.56 eV per atom.

The structure belongs to space group Cmcm (No. 63); the cell edges are 3.759, 12.185 and 9.572 Å and the angles 90.00°, 90.00° and 90.00°. The distinct sites, in fractional coordinates, are Y at (0.000, 0.136, 0.065), Ho at (0.000, 0.425, 0.250) and Pt at (0.000, 0.256, 0.750).

Entry 3:
The following is a DFT calculation (PBE) of crystalline Y2HoPt at its relaxed geometry.

The relative energy among the computed polymorphs is 0 meV per atom. As for the density of states at the Fermi level: 1.1125 states/eV per atom. Its formation energy is -0.7164 eV/atom. For the total energy, the calculation gives -6.60 eV per atom.

The structure belongs to space group Pnma (No. 62); the cell edges are 7.042, 9.609 and 6.514 Å and the angles 90.00°, 90.00° and 90.00°. The distinct sites, in fractional coordinates, are Y at (0.180, 0.061, 0.180), Ho at (0.028, 0.250, 0.632) and Pt at (0.112, 0.750, 0.955).

Entry 4:
The following is a DFT calculation (PBE) of crystalline YHoPt2 at its relaxed geometry.

The relative energy among the computed polymorphs is 55 meV per atom. As for the density of states at the Fermi level: 0.6556 states/eV per atom. Its formation energy is -1.2221 eV/atom. For the total energy, the calculation gives -7.00 eV per atom.

The structure belongs to space group Fm-3m (No. 225); the cell edges are 6.986, 6.986 and 6.986 Å and the angles 90.00°, 90.00° and 90.00°. The distinct sites, in fractional coordinates, are Y at (0.000, 0.000, 0.000), Ho at (0.000, 0.000, 0.500) and Pt at (0.250, 0.250, 0.250).

Entry 5:
The following is a DFT calculation (PBE) of crystalline Y3Ho2Pt2 at its relaxed geometry.

As for the density of states at the Fermi level: 1.2831 states/eV per atom. Its formation energy is -0.7838 eV/atom. For the total energy, the calculation gives -6.59 eV per atom.

The structure belongs to space group C2/m (No. 12); the cell edges are 12.292, 3.746 and 9.055 Å and the angles 90.00°, 115.85° and 90.00°. The distinct sites, in fractional coordinates, are Y at (0.000, 0.000, 0.000), Y at (0.114, 0.000, 0.434), Ho at (0.166, 0.500, 0.813) and Pt at (0.177, 0.500, 0.237).

Entry 6:
The following is a DFT calculation (PBE) of crystalline Y4Ho3Pt4 at its relaxed geometry.

As for the density of states at the Fermi level: 0.7858 states/eV per atom. Its formation energy is -0.9007 eV/atom. For the total energy, the calculation gives -6.70 eV per atom.

The structure belongs to space group Immm (No. 71); the cell edges are 3.801, 8.793 and 16.342 Å and the angles 90.00°, 90.00° and 90.00°. The distinct sites, in fractional coordinates, are Y at (0.000, 0.186, 0.165), Ho at (0.000, 0.000, 0.401), Ho at (0.000, 0.500, 0.500), Pt at (0.000, 0.296, 0.000) and Pt at (0.000, 0.500, 0.242).